w:
A plane-wave DFT calculation with PBE+U was carried out for an optimized crystal structure of MoC3O.

a b c (Å): 4.114 4.114 4.114
angles (deg): 90.00 90.00 90.00
Space group Pm-3m (No. 221)
One atom of each set of equivalent atoms:
Mo: 0.000 0.000 0.000 (multiplicity 1)
C: 0.000 0.000 0.500 (multiplicity 3)
O: 0.500 0.500 0.500 (multiplicity 1)

Properties
Total moment = 0.400 μB/atom

---

x:
A plane-wave DFT calculation with PBE+U was carried out for an optimized crystal structure of MoC3O.

a b c (Å): 3.516 3.516 3.516
angles (deg): 90.00 90.00 90.00
Space group Pm-3m (No. 221)
One atom of each set of equivalent atoms:
Mo: 0.000 0.000 0.000 (multiplicity 1)
C: 0.000 0.500 0.500 (multiplicity 3)
O: 0.500 0.500 0.500 (multiplicity 1)

Properties
Total moment = 0.000 μB/atom

---

It is x that is the most stable of them.

---

w:
A plane-wave DFT calculation with PBE+U was carried out for an optimized crystal structure of MoP2CO.

a b c (Å): 3.845 3.845 4.121
angles (deg): 90.00 90.00 90.00
Space group P4/mmm (No. 123)
One atom of each set of equivalent atoms:
Mo: 0.000 0.000 0.000 (multiplicity 1)
P: 0.000 0.500 0.500 (multiplicity 2)
C: 0.500 0.500 0.500 (multiplicity 1)
O: 0.500 0.500 0.000 (multiplicity 1)

Properties
Total moment = 0.399 μB/atom

---

x:
A plane-wave DFT calculation with PBE+U was carried out for an optimized crystal structure of MoP2CO.

a b c (Å): 4.805 4.805 3.761
angles (deg): 90.00 90.00 90.00
Space group P4/mmm (No. 123)
One atom of each set of equivalent atoms:
Mo: 0.000 0.000 0.000 (multiplicity 1)
P: 0.000 0.500 0.000 (multiplicity 2)
C: 0.500 0.500 0.500 (multiplicity 1)
O: 0.000 0.000 0.500 (multiplicity 1)

Properties
Total moment = 0.159 μB/atom

---

y:
A plane-wave DFT calculation with PBE+U was carried out for an optimized crystal structure of MoP2CO.

a b c (Å): 4.064 4.064 4.368
angles (deg): 90.00 90.00 90.00
Space group P4/mmm (No. 123)
One atom of each set of equivalent atoms:
Mo: 0.000 0.000 0.000 (multiplicity 1)
P: 0.000 0.500 0.500 (multiplicity 2)
C: 0.500 0.500 0.000 (multiplicity 1)
O: 0.000 0.000 0.500 (multiplicity 1)

Properties
Total moment = 0.566 μB/atom

---

It is w that is the most stable of them.